First-principles (GGA-PBE) data for an optimized crystal structure of Rb2DyF4, as listed in the Alexandria database.

Geometry as CIF:
```
data_Rb2DyF4
_chemical_formula_sum 'Rb2 Dy1 F4'
_cell_length_a 11.0772
_cell_length_b 11.0772
_cell_length_c 11.0772
_cell_angle_alpha 157.16
_cell_angle_beta 157.16
_cell_angle_gamma 32.52
_space_group_name_H-M_alt 'P 1'
_space_group_IT_number 1
loop_
_space_group_symop_operation_xyz
'x,y,z'
loop_
_atom_site_label
_atom_site_fract_x
_atom_site_fract_y
_atom_site_fract_z
Rb1 0.1511 0.1511 0.0000
Rb2 0.8489 0.8489 0.0000
Dy1 0.5000 0.5000 0.0000
F1 0.0000 0.5000 0.5000
F2 0.3984 0.3984 0.0000
F3 0.5000 0.0000 0.5000
F4 0.6016 0.6016 0.0000
```

Results
Formation energy from raw total energies ... -21.8 eV/f.u.
E_tot ... -35.8 eV/cell

First-principles (GGA-PBE) data for an optimized crystal structure of RbDyF4, as listed in the Alexandria database.

Geometry as CIF:
```
data_RbDyF4
_chemical_formula_sum 'Rb2 Dy2 F8'
_cell_length_a 7.1180
_cell_length_b 7.1180
_cell_length_c 6.0226
_cell_angle_alpha 109.65
_cell_angle_beta 109.65
_cell_angle_gamma 107.48
_space_group_name_H-M_alt 'P 1'
_space_group_IT_number 1
loop_
_space_group_symop_operation_xyz
'x,y,z'
loop_
_atom_site_label
_atom_site_fract_x
_atom_site_fract_y
_atom_site_fract_z
Rb1 0.1460 0.8540 0.7500
Rb2 0.8540 0.1460 0.2500
Dy1 0.4832 0.5168 0.2500
Dy2 0.5168 0.4832 0.7500
F1 0.2105 0.3124 0.7994
F2 0.2693 0.5541 0.4501
F3 0.3124 0.2105 0.2994
F4 0.4459 0.7307 0.0499
F5 0.5541 0.2693 0.9501
F6 0.6876 0.7895 0.7006
F7 0.7307 0.4459 0.5499
F8 0.7895 0.6876 0.2006
```

Results
Formation energy from raw total energies ... -21.4 eV/f.u.
E_tot ... -68.8 eV/cell

First-principles (GGA-PBE) data for an optimized crystal structure of Rb3DyF7, as listed in the Alexandria database.

Geometry as CIF:
```
data_Rb3DyF7
_chemical_formula_sum 'Rb3 Dy1 F7'
_cell_length_a 6.6156
_cell_length_b 6.6156
_cell_length_c 6.8990
_cell_angle_alpha 115.49
_cell_angle_beta 115.49
_cell_angle_gamma 91.21
_space_group_name_H-M_alt 'P 1'
_space_group_IT_number 1
loop_
_space_group_symop_operation_xyz
'x,y,z'
loop_
_atom_site_label
_atom_site_fract_x
_atom_site_fract_y
_atom_site_fract_z
Rb1 0.0000 0.0000 0.0000
Rb2 0.2827 0.7360 0.4595
Rb3 0.7360 0.2827 0.4595
Dy1 0.4622 0.4622 0.9097
F1 0.1722 0.6299 0.7924
F2 0.1926 0.1926 0.5267
F3 0.3266 0.3266 0.0804
F4 0.5219 0.8119 0.2208
F5 0.6264 0.6264 0.7797
F6 0.6299 0.1722 0.7924
F7 0.8119 0.5219 0.2208
```

Results
Formation energy from raw total energies ... -33.3 eV/f.u.
E_tot ... -53.9 eV/cell